(1)
PrDyGaRh: optimized geometry, PBE.

abc: 3.910 4.347 11.275
angles: 90.00 90.00 90.00
Element x y z (fractional)
Pr: 0.000 0.000 0.000
Pr: 0.000 0.500 0.500
Dy: 0.500 0.000 0.286
Dy: 0.500 0.500 0.786
Ga: 0.500 0.000 0.589
Ga: 0.500 0.500 0.089
Rh: 0.000 0.000 0.740
Rh: 0.000 0.500 0.240

Calculated values
- DFT formation energy (eV/atom) = -0.68
- space-group type = Amm2
- calculated volume (Å³ per cell) = 191.6
- excess energy over the best structure of this formula in the dataset (meV/atom) = 0
- calculated density (Mg/m³) = 8.2
- magnetization (μB per cell) = 0.00
- density of states at the Fermi level (states/eV per cell) = 6.18

***

(2)
PrDyGaRh: optimized geometry, PBE.

abc: 7.168 7.168 7.168
angles: 90.00 90.00 90.00
Element x y z (fractional)
Pr: 0.000 0.000 0.000
Pr: 0.000 0.500 0.500
Pr: 0.500 0.000 0.500
Pr: 0.500 0.500 0.000
Dy: 0.000 0.000 0.500
Dy: 0.000 0.500 0.000
Dy: 0.500 0.000 0.000
Dy: 0.500 0.500 0.500
Ga: 0.250 0.250 0.750
Ga: 0.250 0.750 0.250
Ga: 0.750 0.250 0.250
Ga: 0.750 0.750 0.750
Rh: 0.250 0.250 0.250
Rh: 0.250 0.750 0.750
Rh: 0.750 0.250 0.750
Rh: 0.750 0.750 0.250

Calculated values
- DFT formation energy (eV/atom) = -0.58
- space-group type = F-43m
- calculated volume (Å³ per cell) = 368.3
- excess energy over the best structure of this formula in the dataset (meV/atom) = 102
- calculated density (Mg/m³) = 8.6
- magnetization (μB per cell) = 0.00
- density of states at the Fermi level (states/eV per cell) = 14.83